[1]
# CePm2Ir3 PBE relaxed
data_CePm2Ir3
_space_group_name_H-M_alt 'I m m m'
_space_group_IT_number 71
_space_group_name_Hall '-I 2 2'
_cell_length_a 4.0448
_cell_length_b 5.7973
_cell_length_c 12.3428
_cell_angle_alpha 90.00
_cell_angle_beta 90.00
_cell_angle_gamma 90.00
loop_
_atom_site_label
_atom_site_fract_x
_atom_site_fract_y
_atom_site_fract_z
Ce1 0.0000 0.0000 0.0000
Pm1 0.0000 0.0000 0.3313
Ir1 0.0000 0.5000 0.0000
Ir2 0.0000 0.5000 0.3451
# calculated total energy: -90.15 eV per cell
# density of states at the Fermi level: 0.47 states/eV/atom
# formation energy: -3.058 eV per formula unit


[2]
# LaHgPd PBE relaxed
data_LaHgPd
_space_group_name_H-M_alt 'P -6 m 2'
_space_group_IT_number 187
_space_group_name_Hall 'P -6 2'
_cell_length_a 4.8074
_cell_length_b 4.8074
_cell_length_c 3.7198
_cell_angle_alpha 90.00
_cell_angle_beta 90.00
_cell_angle_gamma 120.00
loop_
_atom_site_label
_atom_site_fract_x
_atom_site_fract_y
_atom_site_fract_z
La1 0.0000 0.0000 0.0000
Hg1 0.6667 0.3333 0.5000
Pd1 0.3333 0.6667 0.5000
# calculated total energy: -12.33 eV per cell
# density of states at the Fermi level: 1.23 states/eV/atom
# formation energy: -1.909 eV per formula unit
# offset from the most stable computed form: 92 meV/atom


[3]
# BeGaOs3 PBE relaxed
data_BeGaOs3
_space_group_name_H-M_alt 'P m -3 m'
_space_group_IT_number 221
_space_group_name_Hall '-P 4 2 3'
_cell_length_a 4.1284
_cell_length_b 4.1284
_cell_length_c 4.1284
_cell_angle_alpha 90.00
_cell_angle_beta 90.00
_cell_angle_gamma 90.00
loop_
_atom_site_label
_atom_site_fract_x
_atom_site_fract_y
_atom_site_fract_z
Be1 0.0000 0.0000 0.0000
Ga1 0.5000 0.5000 0.5000
Os1 0.0000 0.0000 0.5000
# calculated total energy: -36.57 eV per cell
# density of states at the Fermi level: 1.01 states/eV/atom
# formation energy: 3.869 eV per formula unit
# offset from the most stable computed form: 0 meV/atom


[4]
# Li6HgSb5 PBE relaxed
data_Li6HgSb5
_space_group_name_H-M_alt 'C 1 2/m 1'
_space_group_IT_number 12
_cell_length_a 9.4068
_cell_length_b 13.6282
_cell_length_c 4.5621
_cell_angle_alpha 90.00
_cell_angle_beta 118.86
_cell_angle_gamma 90.00
loop_
_space_group_symop_operation_xyz
'x,y,z'
'-x,-y,-z'
'-x,y,-z'
'x,-y,z'
'x+1/2,y+1/2,z'
'-x+1/2,-y+1/2,-z'
'-x+1/2,y+1/2,-z'
'x+1/2,-y+1/2,z'
loop_
_atom_site_label
_atom_site_fract_x
_atom_site_fract_y
_atom_site_fract_z
Li1 0.2398 0.0000 0.2392
Li2 0.2459 0.1680 0.7451
Hg1 0.0000 0.5000 0.0000
Sb1 0.0000 0.0000 0.5000
Sb2 0.0000 0.1755 0.0000
Sb3 0.0000 0.3361 0.5000
# raw formation energy: -404 meV/atom
# calculated total energy: -74.48 eV per cell
# density of states at the Fermi level: 0.21 states/eV/atom


[5]
# Pm3Dy4Bi8 PBE relaxed
data_Pm3Dy4Bi8
_space_group_name_H-M_alt 'C 1 2/m 1'
_space_group_IT_number 12
_cell_length_a 12.7387
_cell_length_b 12.7487
_cell_length_c 8.9770
_cell_angle_alpha 90.00
_cell_angle_beta 134.75
_cell_angle_gamma 90.00
loop_
_space_group_symop_operation_xyz
'x,y,z'
'-x,-y,-z'
'-x,y,-z'
'x,-y,z'
'x+1/2,y+1/2,z'
'-x+1/2,-y+1/2,-z'
'-x+1/2,y+1/2,-z'
'x+1/2,-y+1/2,z'
loop_
_atom_site_label
_atom_site_fract_x
_atom_site_fract_y
_atom_site_fract_z
Pm1 0.0000 0.0000 0.0000
Pm2 0.2500 0.2500 0.0000
Dy1 0.0000 0.5000 0.0000
Dy2 0.0000 0.5000 0.5000
Dy3 0.2500 0.2500 0.5000
Bi1 0.0000 0.2475 0.5000
Bi2 0.0000 0.2522 0.0000
Bi3 0.2494 0.5000 0.0044
Bi4 0.2498 0.0000 0.5055
# calculated total energy: -148.27 eV per cell
# density of states at the Fermi level: 0.56 states/eV/atom
# formation energy: -10.426 eV per formula unit


Q: Look up the density of states at the Fermi level of the second one.
A: 1.23 states/eV/atom


What did the fourth record say?
# Li6HgSb5 PBE relaxed
data_Li6HgSb5
_space_group_name_H-M_alt 'C 1 2/m 1'
_space_group_IT_number 12
_cell_length_a 9.4068
_cell_length_b 13.6282
_cell_length_c 4.5621
_cell_angle_alpha 90.00
_cell_angle_beta 118.86
_cell_angle_gamma 90.00
loop_
_space_group_symop_operation_xyz
'x,y,z'
'-x,-y,-z'
'-x,y,-z'
'x,-y,z'
'x+1/2,y+1/2,z'
'-x+1/2,-y+1/2,-z'
'-x+1/2,y+1/2,-z'
'x+1/2,-y+1/2,z'
loop_
_atom_site_label
_atom_site_fract_x
_atom_site_fract_y
_atom_site_fract_z
Li1 0.2398 0.0000 0.2392
Li2 0.2459 0.1680 0.7451
Hg1 0.0000 0.5000 0.0000
Sb1 0.0000 0.0000 0.5000
Sb2 0.0000 0.1755 0.0000
Sb3 0.0000 0.3361 0.5000
# raw formation energy: -404 meV/atom
# calculated total energy: -74.48 eV per cell
# density of states at the Fermi level: 0.21 states/eV/atom


Q: Which formula does entry 2 have?
A: LaHgPd